{"formula": "ZnS", "functional": "PBE", "state": "optimized geometry", "lattice": [[3.835, 0.000, 0.000], [-1.917, 3.321, 0.000], [0.000, 0.000, 25.107]], "species": ["Zn", "Zn", "Zn", "Zn", "Zn", "Zn", "Zn", "Zn", "S", "S", "S", "S", "S", "S", "S", "S"], "fractional_positions": [[0.000, 0.000, 0.750], [0.667, 0.333, 0.625], [0.667, 0.333, 0.250], [0.000, 0.000, 0.500], [0.333, 0.667, 0.375], [0.333, 0.667, 0.125], [0.000, 0.000, 0.000], [0.667, 0.333, 0.875], [0.333, 0.667, 0.469], [0.667, 0.333, 0.344], [0.667, 0.333, 0.719], [0.000, 0.000, 0.594], [0.000, 0.000, 0.844], [0.000, 0.000, 0.094], [0.333, 0.667, 0.219], [0.667, 0.333, 0.969]], "e_tot_ev_per_atom": -3.507, "space_group": "P3m1"}